one | Below is a geometry-optimized SbRuSeI2 structure, with properties calculated at the PBE level.

Properties
Its total magnetization is 0.0 μB/cell. The density of states at the Fermi level comes out at 6.1 states/eV per cell.

Cell lengths 5.3274, 5.3274, 5.1424 Å; angles 90.00, 90.00, 90.00 degrees
Space group P4/mmm (No. 123)
Symmetry-distinct sites (fractional):
Sb (0.0000, 0.0000, 0.0000) [1 per cell]
Ru (0.0000, 0.0000, 0.5000) [1 per cell]
Se (0.5000, 0.5000, 0.0000) [1 per cell]
I (0.0000, 0.5000, 0.5000) [2 per cell]


two | Below is a geometry-optimized SbRuSeI2 structure, with properties calculated at the PBE level.

Properties
Its total magnetization is 3.7 μB/cell. The density of states at the Fermi level comes out at 7.8 states/eV per cell.

Cell lengths 5.7464, 5.7464, 5.4338 Å; angles 90.00, 90.00, 90.00 degrees
Space group P4/mmm (No. 123)
Symmetry-distinct sites (fractional):
Sb (0.0000, 0.0000, 0.0000) [1 per cell]
Ru (0.5000, 0.5000, 0.0000) [1 per cell]
Se (0.0000, 0.0000, 0.5000) [1 per cell]
I (0.0000, 0.5000, 0.5000) [2 per cell]


The winner here is one, beating the second structure by 765 meV/atom.